The following is a SCAN calculation of a crystal of BiMoBr2 relaxed with PBEsol, from Alexandria via LeMat-Bulk.

a b c (Å): 4.981 4.981 4.981
angles (deg): 60.00 60.00 60.00
Each line ends with the local moment (μB).
Positions (direct):
Br (0.750, 0.750, 0.750)  -0.01
Br (0.250, 0.250, 0.250)  -0.01
Mo (0.000, 0.000, 0.000)  3.25
Bi (0.500, 0.500, 0.500)  -0.20

Energy above the lowest structure with this stoichiometry in eV/f.u.: 1.39